Record 1
Compound: Zr3SnO
Source: Alexandria via LeMat-Bulk
Functional: PBE
Structure: relaxed

Calculated values
raw total energy	-8.085	eV/atom
energy relative to the lowest polymorph listed for this composition	115	meV per atom
energy relative to the elements, uncorrected	-1.16	eV per atom
symmetry	Pm-3m (221)

Lattice parameters (Å, degrees): 4.5229 4.5229 4.5229 90.00 90.00 90.00
Fractional coordinates of all 5 atoms:
Zr (0.0000, 0.5000, 0.0000)
Zr (0.5000, 0.0000, 0.0000)
Zr (0.0000, 0.0000, 0.5000)
Sn (0.5000, 0.5000, 0.5000)
O (0.0000, 0.0000, 0.0000)

=====

Record 2
Compound: Zr2SnO2
Source: Alexandria via LeMat-Bulk
Functional: PBE
Structure: relaxed

Calculated values
raw total energy	-7.438	eV/atom
energy relative to the lowest polymorph listed for this composition	855	meV per atom
energy relative to the elements, uncorrected	-1.23	eV per atom
symmetry	P4/mbm (127)

Lattice parameters (Å, degrees): 7.4157 7.4157 3.0113 90.00 90.00 90.00
Fractional coordinates of all 10 atoms:
Zr (0.8665, 0.6335, 0.0000)
Zr (0.3665, 0.8665, 0.0000)
Zr (0.1335, 0.3665, 0.0000)
Zr (0.6335, 0.1335, 0.0000)
O (0.3908, 0.1092, 0.5000)
O (0.1092, 0.6092, 0.5000)
O (0.8908, 0.3908, 0.5000)
O (0.6092, 0.8908, 0.5000)
Sn (0.0000, 0.0000, 0.0000)
Sn (0.5000, 0.5000, 0.0000)

=====

Record 3
Compound: Zr2SnO
Source: Alexandria via LeMat-Bulk
Functional: PBE
Structure: relaxed

Calculated values
raw total energy	-7.797	eV/atom
energy relative to the lowest polymorph listed for this composition	55	meV per atom
energy relative to the elements, uncorrected	-1.28	eV per atom
symmetry	R-3m (166)

Lattice parameters (Å, degrees): 3.3612 3.3612 7.5607 77.16 77.16 60.00
Fractional coordinates of all 4 atoms:
Zr (0.2771, 0.2771, 0.1687)
Zr (0.7229, 0.7229, 0.8313)
Sn (0.5000, 0.5000, 0.5000)
O (0.0000, 0.0000, 0.0000)

=====

Record 4
Compound: ZrSnO3
Source: Alexandria via LeMat-Bulk
Functional: PBE
Structure: relaxed

Calculated values
raw total energy	-6.606	eV/atom
energy relative to the elements, uncorrected	-1.12	eV per atom
symmetry	Pm-3m (221)

Lattice parameters (Å, degrees): 4.0528 4.0528 4.0528 90.00 90.00 90.00
Site moments in Bohr magnetons follow the coordinates.
Fractional coordinates of all 5 atoms:
Zr (0.5000, 0.5000, 0.5000)  1.34
O (0.5000, 0.0000, 0.0000)  0.00
O (0.0000, 0.5000, 0.0000)  0.01
O (0.0000, 0.0000, 0.5000)  0.01
Sn (0.0000, 0.0000, 0.0000)  0.01